# 1
Here is crystalline Be2Hg2Sb at its relaxed geometry from Alexandria via LeMat-Bulk. Energies are from GGA-PBEsol.

The space group is I4/mmm (No. 139) and the conventional cell measures 3.852, 3.852 and 12.018 Å, with angles of 90.00, 90.00 and 90.00 degrees. The asymmetric unit holds Be at (0.000, 0.500, 0.250), Hg at (0.000, 0.000, 0.124) and Sb at (0.000, 0.000, 0.500).

The value obtained for the density of states at the Fermi level is 2.8 states/eV per cell. As for the formation energy without anion corrections: 8.3 kcal/mol of atoms. The total moment comes out at 0.00 μB/f.u. As for the volume: 17.83 Å³ per atom.

***

# 2
Here is crystalline NbPH2 at its relaxed geometry from Alexandria via LeMat-Bulk. Energies are from GGA-PBEsol.

The space group is I-42d (No. 122) and the conventional cell measures 4.455, 4.455 and 8.060 Å, with angles of 90.00, 90.00 and 90.00 degrees. The asymmetric unit holds Nb at (0.000, 0.000, 0.000), P at (0.000, 0.000, 0.500) and H at (0.235, 0.250, 0.125).

The value obtained for the density of states at the Fermi level is 6.0 states/eV per cell. The total moment comes out at 0.00 μB/f.u. As for the volume: 10.00 Å³ per atom. For the calculated total energy, the calculation gives -0.199 hartree per atom.

***

# 3
Here is crystalline Li2AlIn at its relaxed geometry from Alexandria via LeMat-Bulk. Energies are from GGA-PBEsol.

The space group is Cm (No. 8) and the conventional cell measures 9.432, 2.978 and 5.196 Å, with angles of 90.00, 97.23 and 90.00 degrees. The asymmetric unit holds Li at (0.000, 0.000, 0.000), Li at (0.235, 0.000, 0.748), Al at (0.492, 0.000, 0.510) and In at (0.247, 0.500, 0.248).

The energy of formation from the pure elements is -0.16 eV per atom. The value obtained for the density of states at the Fermi level is 2.3 states/eV per cell. The total moment comes out at 0.00 μB/f.u. As for the volume: 18.10 Å³ per atom.

***

# 4
Here is crystalline Ba4IrCl at its relaxed geometry from Alexandria via LeMat-Bulk. Energies are from GGA-PBEsol.

The space group is F-43m (No. 216) and the conventional cell measures 9.417, 9.417 and 9.417 Å, with angles of 90.00, 90.00 and 90.00 degrees. The asymmetric unit holds Ba at (0.124, 0.124, 0.376), Ir at (0.250, 0.250, 0.750) and Cl at (0.000, 0.000, 0.000).

The value obtained for the density of states at the Fermi level is 23.3 states/eV per cell. As for the formation energy without anion corrections: 12.8 kcal/mol of atoms. The total moment comes out at 0.00 μB/f.u. As for the volume: 34.80 Å³ per atom.

***

# 5
Here is crystalline Mo2RhAu at its relaxed geometry from Alexandria via LeMat-Bulk. Energies are from GGA-PBEsol.

The space group is R3m (No. 160, hexagonal axes) and the conventional cell measures 2.7585, 2.7585 and 27.8131 Å, with angles of 90.00, 90.00 and 120.00 degrees. The asymmetric unit holds Mo at (0.0000, 0.0000, 0.0000), Mo at (0.0000, 0.0000, 0.2469), Rh at (0.0000, 0.0000, 0.7418) and Au at (0.0000, 0.0000, 0.4946).

The energy of formation from the pure elements is 0.14 eV per atom. The value obtained for the density of states at the Fermi level is 11.2 states/eV per cell. The total moment comes out at 0.00 μB/f.u. As for the volume: 15.27 Å³ per atom.

***

# 6
Here is crystalline Te3PdPb at its relaxed geometry from Alexandria via LeMat-Bulk. Energies are from GGA-PBEsol.

The space group is Pm-3m (No. 221) and the conventional cell measures 5.683, 5.683 and 5.683 Å, with angles of 90.00, 90.00 and 90.00 degrees. The asymmetric unit holds Te at (0.000, 0.000, 0.500), Pd at (0.500, 0.500, 0.500) and Pb at (0.000, 0.000, 0.000).

The value obtained for the density of states at the Fermi level is 9.8 states/eV per cell. As for the formation energy without anion corrections: 25.6 kcal/mol of atoms. The total moment comes out at 0.02 μB/f.u. As for the volume: 36.71 Å³ per atom.

***

# 7
Here is crystalline Be2BiIr at its relaxed geometry from Alexandria via LeMat-Bulk. Energies are from GGA-PBEsol.

The space group is I-42d (No. 122) and the conventional cell measures 4.131, 4.131 and 15.736 Å, with angles of 90.00, 90.00 and 90.00 degrees. The asymmetric unit holds Be at (0.072, 0.250, 0.125), Bi at (0.000, 0.000, 0.500) and Ir at (0.000, 0.000, 0.000).

The energy of formation from the pure elements is 0.36 eV per atom. The value obtained for the density of states at the Fermi level is 9.8 states/eV per cell. The total moment comes out at 0.00 μB/f.u. As for the volume: 16.78 Å³ per atom.

***

# 8
Here is crystalline Sc2Ni at its relaxed geometry from Alexandria via LeMat-Bulk. Energies are from GGA-PBEsol.

The space group is Cmcm (No. 63) and the conventional cell measures 3.232, 14.307 and 4.633 Å, with angles of 90.00, 90.00 and 90.00 degrees. The asymmetric unit holds Sc at (0.000, 0.074, 0.250), Sc at (0.000, 0.217, 0.750) and Ni at (0.000, 0.429, 0.250).

The energy of formation from the pure elements is -0.30 eV per atom. The value obtained for the density of states at the Fermi level is 10.8 states/eV per cell. The total moment comes out at 0.00 μB/f.u. As for the volume: 17.86 Å³ per atom.

***

# 9
Here is crystalline La2MgTl at its relaxed geometry from Alexandria via LeMat-Bulk. Energies are from GGA-PBEsol.

The space group is Imm2 (No. 44) and the conventional cell measures 3.876, 5.463 and 10.967 Å, with angles of 90.00, 90.00 and 90.00 degrees. The asymmetric unit holds La at (0.000, 0.000, 0.000), La at (0.000, 0.500, 0.232), Mg at (0.000, 0.500, 0.769) and Tl at (0.000, 0.000, 0.468).

The energy of formation from the pure elements is -0.26 eV per atom. The value obtained for the density of states at the Fermi level is 8.2 states/eV per cell. The total moment comes out at 0.00 μB/f.u. As for the volume: 29.03 Å³ per atom.

***

# 10
Here is crystalline BiAs2Br2 at its relaxed geometry from Alexandria via LeMat-Bulk. Energies are from GGA-PBEsol.

The space group is P4/mbm (No. 127) and the conventional cell measures 7.336, 7.336 and 5.277 Å, with angles of 90.00, 90.00 and 90.00 degrees. The asymmetric unit holds Bi at (0.000, 0.000, 0.000), As at (0.119, 0.381, 0.000) and Br at (0.168, 0.332, 0.500).

The value obtained for the density of states at the Fermi level is 5.9 states/eV per cell. As for the formation energy without anion corrections: 0.7 kcal/mol of atoms. The total moment comes out at 0.44 μB/f.u. As for the volume: 28.40 Å³ per atom.

***

# 11
Here is crystalline Zr3Zn at its relaxed geometry from Alexandria via LeMat-Bulk. Energies are from GGA-PBEsol.

The space group is Imm2 (No. 44) and the conventional cell measures 3.113, 9.855 and 5.221 Å, with angles of 90.00, 90.00 and 90.00 degrees. The asymmetric unit holds Zr at (0.000, 0.000, 0.000), Zr at (0.000, 0.231, 0.608) and Zn at (0.000, 0.500, 0.957).

The energy of formation from the pure elements is -0.09 eV per atom. The value obtained for the density of states at the Fermi level is 6.8 states/eV per cell. The total moment comes out at 0.00 μB/f.u. As for the volume: 20.02 Å³ per atom.

***

# 12
Here is crystalline K2RbTlF6 at its relaxed geometry from Alexandria via LeMat-Bulk. Energies are from GGA-PBEsol.

The space group is Fm-3m (No. 225) and the conventional cell measures 9.455, 9.455 and 9.455 Å, with angles of 90.00, 90.00 and 90.00 degrees. The asymmetric unit holds K at (0.250, 0.250, 0.250), Rb at (0.000, 0.000, 0.000), Tl at (0.000, 0.000, 0.500) and F at (0.000, 0.000, 0.272).

The value obtained for the density of states at the Fermi level is 0.0 states/eV per cell. As for the formation energy without anion corrections: -54.5 kcal/mol of atoms. The total moment comes out at 0.00 μB/f.u. As for the volume: 21.13 Å³ per atom.

***

# 13
Here is crystalline YCoSe at its relaxed geometry from Alexandria via LeMat-Bulk. Energies are from GGA-PBEsol.

The space group is I4mm (No. 107) and the conventional cell measures 3.708, 3.708 and 8.171 Å, with angles of 90.00, 90.00 and 90.00 degrees. The asymmetric unit holds Y at (0.000, 0.000, 0.000), Co at (0.000, 0.000, 0.623) and Se at (0.000, 0.000, 0.342).

The value obtained for the density of states at the Fermi level is 5.1 states/eV per cell. As for the formation energy without anion corrections: -10.4 kcal/mol of atoms. The total moment comes out at 0.00 μB/f.u. As for the volume: 18.72 Å³ per atom.